! GGA-PBE Tb2TmH8, optimized geometry; values from VASP
! - Calculated total energy: -4.309 eV/atom
&SYSTEM
  ibrav = 0, nat = 11, ntyp = 3
/
ATOMIC_SPECIES
H 1.01 H.upf
Tb 158.93 Tb.upf
Tm 168.93 Tm.upf
CELL_PARAMETERS angstrom
-2.800 -1.922 -1.323
1.237 -3.887 3.027
-2.455 4.924 3.064
ATOMIC_POSITIONS angstrom
H -2.512 2.326 1.939
H -1.506 -3.210 2.830
H -1.909 0.434 3.412
H 0.323 -1.016 0.791
H -2.977 -1.534 3.510
H -1.040 0.649 1.259
H -2.108 -1.318 1.356
H -4.341 0.131 3.977
Tb -3.550 0.381 1.940
Tb -0.467 -1.266 2.828
Tm -1.400 -0.961 -0.661